An optimized crystal structure of Mg2BiTeW, computed with PBE-GGA.

Structure (POSCAR):
```
Mg2BiTeW
1.0
-1.193 -2.062 -4.752
0.291 -4.895 2.052
-4.918 0.191 1.153
Mg W Bi Te
2 1 1 1
direct
0.000 0.500 0.000
0.500 0.000 0.000
0.000 0.000 0.500
0.500 0.500 0.500
0.000 0.000 0.000
```

Properties
Density of states at the Fermi level = 4.1 states/eV/f.u.
Magnetic moment = 1.0 μB per formula unit
Formation energy (no corrections) = 5.164 eV per formula unit